Entry from the Alexandria database: crystalline Li7Mn2Co3O12 at its relaxed geometry (PBE+U).

Cell lengths 5.857, 5.882, 6.499 Å; angles 75.72, 76.64, 88.25 degrees
Space group P1 (No. 1)
Symmetry-distinct sites (fractional):
1 Li 0.000 0.000 0.000
2 Li 0.001 0.503 0.005
3 Li 0.159 0.668 0.330
4 Li 0.325 0.337 0.680
5 Li 0.500 0.002 0.007
6 Li 0.673 0.667 0.335
7 Li 0.839 0.337 0.675
8 Mn 0.504 0.505 0.004
9 Mn 0.673 0.172 0.335
10 Co 0.169 0.175 0.338
11 Co 0.318 0.823 0.680
12 Co 0.832 0.836 0.667
13 O 0.084 0.618 0.659
14 O 0.091 0.090 0.654
15 O 0.264 0.270 0.027
16 O 0.269 0.744 0.001
17 O 0.424 0.955 0.344
18 O 0.447 0.421 0.323
19 O 0.570 0.575 0.693
20 O 0.589 0.065 0.651
21 O 0.738 0.259 0.023
22 O 0.742 0.741 0.980
23 O 0.896 0.925 0.347
24 O 0.910 0.384 0.341

Summary:
crystal system = triclinic
mass density = 4.15 g cm⁻³
ΔE to the lowest computed polymorph = 0.071 eV per atom
total energy = -5.83 eV/atom